Na3AsS3 | PBE-GGA | optimized geometry

Properties
Uncorrected formation energy in meV per atom: -766
Space group: Pnma

Cell: 4.8444 10.9404 12.3748 Å, 90.00 90.00 90.00°
Fractional coordinates of all 28 atoms:
Na1 0.7500 0.7395 0.7881
Na2 0.2500 0.7605 0.2881
Na3 0.2500 0.2605 0.2119
Na4 0.7500 0.2395 0.7119
Na5 0.7500 0.1557 0.0038
Na6 0.2500 0.3443 0.5038
Na7 0.2500 0.8443 0.9962
Na8 0.7500 0.6557 0.4962
Na9 0.7500 0.9613 0.6018
Na10 0.2500 0.5387 0.1018
Na11 0.2500 0.0387 0.3982
Na12 0.7500 0.4613 0.8982
As1 0.7500 0.9414 0.2003
As2 0.2500 0.5586 0.7003
As3 0.2500 0.0586 0.7997
As4 0.7500 0.4414 0.2997
S1 0.7500 0.9916 0.8316
S2 0.2500 0.5084 0.3316
S3 0.2500 0.0084 0.1684
S4 0.7500 0.4916 0.6684
S5 0.7500 0.8831 0.3824
S6 0.2500 0.6169 0.8824
S7 0.2500 0.1169 0.6176
S8 0.7500 0.3831 0.1176
S9 0.7500 0.7553 0.1197
S10 0.2500 0.7447 0.6197
S11 0.2500 0.2447 0.8803
S12 0.7500 0.2553 0.3803